(1)
Compound: TbErPtAu
Source: the Alexandria database
Functional: PBE-GGA
Structure: optimized geometry

Summary:
- Formation enthalpy at 0 K: -1.092 eV/atom
- Density of states at the Fermi level: 0.52 states/eV/atom

The structure in POSCAR format:
```
TbErPtAu
1.0
3.756 0.000 0.000
0.000 4.592 0.000
-1.878 0.000 5.333
Tb Er Pt Au
1 1 1 1
direct
0.139 0.000 0.279
0.863 0.500 0.726
0.410 0.000 0.821
0.587 0.500 0.174
```

***

(2)
Compound: Ag3P
Source: the Alexandria database
Functional: PBE-GGA
Structure: optimized geometry

Summary:
- Formation enthalpy at 0 K: 0.220 eV/atom
- Density of states at the Fermi level: 0.39 states/eV/atom

The structure in POSCAR format:
```
Ag3P
1.0
-2.222 3.472 -1.511
-1.042 0.523 2.735
3.630 3.445 2.580
Ag P
3 1
direct
0.000 0.132 0.012
0.500 0.750 0.750
0.000 0.368 0.488
0.500 0.250 0.250
```

***

(3)
Compound: TlHgSb
Source: the Alexandria database
Functional: PBE-GGA
Structure: optimized geometry

Summary:
- Formation energy from raw total energies: 0.056 eV/atom
- Density of states at the Fermi level: 0.44 states/eV/atom

The structure in POSCAR format:
```
TlHgSb
1.0
8.881 0.175 -0.158
8.269 3.341 0.157
0.612 0.001 3.182
Sb Tl Hg
1 1 1
direct
0.328 0.328 0.672
0.673 0.673 0.327
0.000 0.000 0.000
```

***

(4)
Compound: CaZn5CdAu2
Source: the Alexandria database
Functional: PBE-GGA
Structure: optimized geometry

Summary:
- Formation enthalpy at 0 K: -0.044 eV/atom
- Density of states at the Fermi level: 0.37 states/eV/atom

The structure in POSCAR format:
```
CaZn5CdAu2
1.0
-4.418 -1.284 -1.830
1.916 -4.263 -1.633
-1.789 -3.363 6.679
Ca Zn Cd Au
1 5 1 2
direct
0.000 0.000 0.500
0.000 0.500 0.239
0.500 0.000 0.239
0.000 0.500 0.761
0.500 0.000 0.761
0.500 0.500 0.500
0.000 0.000 0.000
0.500 0.500 0.175
0.500 0.500 0.825
```

***

(5)
Compound: SmTm5Pd2
Source: the Alexandria database
Functional: PBE-GGA
Structure: optimized geometry

Summary:
- Formation enthalpy at 0 K: -0.390 eV/atom
- Density of states at the Fermi level: 1.05 states/eV/atom

The structure in POSCAR format:
```
SmTm5Pd2
1.0
-3.090 -1.132 1.899
-1.148 -1.296 -6.440
7.133 -16.153 1.979
Sm Tm Pd
2 10 4
direct
0.650 0.300 0.750
0.350 0.700 0.250
0.948 0.896 0.898
0.948 0.896 0.602
0.346 0.692 0.458
0.346 0.692 0.042
0.614 0.228 0.250
0.386 0.772 0.750
0.654 0.308 0.542
0.654 0.308 0.958
0.052 0.104 0.102
0.052 0.104 0.398
0.740 0.481 0.375
0.740 0.481 0.125
0.260 0.519 0.625
0.260 0.519 0.875
```

***

(6)
Compound: Nd3Zn9Ge2
Source: the Alexandria database
Functional: PBE-GGA
Structure: optimized geometry

Summary:
- Formation enthalpy at 0 K: -0.357 eV/atom
- Density of states at the Fermi level: 0.46 states/eV/atom

The structure in POSCAR format:
```
Nd3Zn9Ge2
1.0
4.234 0.000 1.137
1.625 7.755 2.399
0.046 0.088 8.278
Nd Zn Ge
3 9 2
direct
0.000 0.000 0.000
0.687 0.313 0.313
0.313 0.687 0.687
0.000 0.500 0.500
0.663 0.966 0.708
0.337 0.034 0.292
0.663 0.708 0.966
0.337 0.292 0.034
0.857 0.873 0.413
0.143 0.127 0.587
0.857 0.413 0.873
0.143 0.587 0.127
0.500 0.286 0.714
0.500 0.714 0.286
```